A relaxed structure of CdTeAu2. Source: the Alexandria database, functional GGA-PBEsol.

```
4
Lattice="2.925 0.000 0.000 0.000 5.557 0.084 0.000 -0.370 5.545" Properties=species:S:1:pos:R:3 pbc="T T T"
Au 0.000 2.778 0.042
Au 0.000 -0.185 2.772
Te 0.000 2.593 2.814
Cd 0.000 0.000 0.000
```

Computed properties:
Energy above the most stable polymorph in this dataset   151 meV per atom
E_form (uncorrected)   82 meV per atom
Total energy   -3.060 eV per atom
Space group   Cmmm

A relaxed structure of Hf5Sb9. Source: the Alexandria database, functional GGA-PBEsol.

```
28
Lattice="-3.361 -2.789 7.453 -7.159 -2.597 -4.199 3.596 -7.811 -1.301" Properties=species:S:1:pos:R:3 pbc="T T T"
Hf -6.553 -4.681 -2.042
Hf -3.778 -7.308 -1.773
Hf -1.574 -4.584 0.240
Hf 1.202 -7.211 0.508
Hf -0.707 -5.984 4.906
Hf -4.435 -2.008 -0.203
Hf -4.928 -11.092 0.976
Hf -5.748 -5.908 2.545
Hf -3.568 -3.409 4.463
Hf -2.748 -8.593 2.894
Sb -2.958 -5.079 6.755
Sb 0.123 -8.246 3.146
Sb -3.791 -10.209 -1.693
Sb -1.669 -7.558 0.256
Sb -7.336 -8.061 3.665
Sb -2.184 -2.914 -2.052
Sb -2.794 -5.657 2.799
Sb -7.310 -10.893 2.617
Sb -2.348 -2.335 1.904
Sb -4.966 -2.528 -3.162
Sb -7.832 -5.602 0.548
Sb -1.395 -7.507 -3.414
Sb -5.616 -2.988 2.417
Sb -2.933 -7.911 5.706
Sb -4.470 -4.987 -0.045
Sb 0.474 -5.004 2.286
Sb 1.387 -7.893 -2.305
Sb -4.915 -8.190 0.895
```

Computed properties:
E_form (uncorrected)   -495 meV per atom
Total energy   -7.176 eV per atom
Space group   P4/n

A relaxed structure of Y2ZrMnW. Source: the Alexandria database, functional GGA-PBEsol.

```
5
Lattice="4.361 0.000 0.000 0.000 5.252 0.000 0.000 0.000 5.252" Properties=species:S:1:pos:R:3 pbc="T T T"
Mn 2.181 0.000 0.000
Y 0.000 2.626 0.000
Y 0.000 0.000 2.626
W 2.181 2.626 2.626
Zr 0.000 0.000 0.000
```

Computed properties:
Total energy   -7.531 eV per atom
Energy of formation from the pure elements   8.6 eV/f.u.
Space group   P4/mmm

A relaxed structure of Zr2CoRe. Source: the Alexandria database, functional GGA-PBEsol.

```
4
Lattice="-2.025 2.075 1.410 0.433 -1.496 2.823 4.843 3.846 1.295" Properties=species:S:1:pos:R:3 pbc="T T T"
Zr 1.190 0.945 0.318
Zr 3.653 2.901 0.977
Re 1.626 2.213 2.764
Co -0.796 0.290 2.117
```

Computed properties:
Total energy   -10.117 eV per atom
Energy of formation from the pure elements   -1.2 eV/f.u.
Space group   P4/mmm

A relaxed structure of CdP3. Source: the Alexandria database, functional GGA-PBEsol.

```
8
Lattice="4.314 0.000 0.000 0.000 5.196 0.000 0.000 0.000 7.368" Properties=species:S:1:pos:R:3 pbc="T T T"
P 2.157 3.572 0.000
P 0.000 0.429 1.843
P 0.000 1.624 3.684
P 2.157 4.767 1.841
P 2.157 4.767 5.527
P 0.000 0.429 5.525
Cd 0.000 2.232 0.000
Cd 2.157 2.964 3.684
```

Computed properties:
Energy above the most stable polymorph in this dataset   0 meV per atom
Total energy   -4.656 eV per atom
Energy of formation from the pure elements   -0.1 eV/f.u.
Space group   Pmmn

A relaxed structure of MnIN2. Source: the Alexandria database, functional GGA-PBEsol.

```
4
Lattice="-2.124 -0.490 2.219 -0.062 -2.712 1.523 3.184 1.231 5.500" Properties=species:S:1:pos:R:3 pbc="T T T"
Mn 0.499 -0.986 4.621
N 1.812 0.425 4.009
N -0.815 -2.396 5.233
I 0.000 0.000 0.000
```

Computed properties:
Energy above the most stable polymorph in this dataset   99 meV per atom
E_form (uncorrected)   483 meV per atom
Total energy   -6.663 eV per atom
Space group   R-3m

A relaxed structure of TlCd2Ga. Source: the Alexandria database, functional GGA-PBEsol.

```
4
Lattice="5.048 0.000 0.000 2.524 4.371 0.000 2.524 1.457 4.121" Properties=species:S:1:pos:R:3 pbc="T T T"
Cd 2.524 1.457 1.030
Cd 7.571 4.371 3.091
Ga 0.000 0.000 0.000
Tl 5.048 2.914 2.061
```

Computed properties:
Total energy   -1.971 eV per atom
Energy of formation from the pure elements   0.5 eV/f.u.
Space group   Fm-3m

A relaxed structure of ZnFeBi2. Source: the Alexandria database, functional GGA-PBEsol.

```
8
Lattice="5.034 0.000 0.000 0.000 5.034 0.000 -2.517 -2.517 8.002" Properties=species:S:1:pos:R:3 pbc="T T T"
Bi 1.259 1.121 6.001
Bi 1.396 3.776 2.000
Bi 3.638 1.259 2.000
Bi -1.259 -1.121 6.001
Zn 0.000 2.517 4.001
Zn 0.000 0.000 0.000
Fe 2.517 2.517 0.000
Fe 2.517 0.000 4.001
```

Computed properties:
Total energy   -4.201 eV per atom
Energy of formation from the pure elements   2.3 eV/f.u.
Space group   I-42d

- The lowest total energy belongs to which entry?
  Zr2CoRe

- Number 7 is which compound?
  TlCd2Ga

Repeat the sixth record exactly.
A relaxed structure of MnIN2. Source: the Alexandria database, functional GGA-PBEsol.

```
4
Lattice="-2.124 -0.490 2.219 -0.062 -2.712 1.523 3.184 1.231 5.500" Properties=species:S:1:pos:R:3 pbc="T T T"
Mn 0.499 -0.986 4.621
N 1.812 0.425 4.009
N -0.815 -2.396 5.233
I 0.000 0.000 0.000
```

Computed properties:
Energy above the most stable polymorph in this dataset   99 meV per atom
E_form (uncorrected)   483 meV per atom
Total energy   -6.663 eV per atom
Space group   R-3m

- The lowest total energy belongs to which entry?
  Zr2CoRe